No. 1
## PrBiH6Rh2 (PBE)

Data for a relaxed structure of PrBiH6Rh2.

The structure belongs to space group C2/c (No. 15); the cell edges are 7.999, 11.961 and 4.730 Å and the angles 90.00°, 90.15° and 90.00°. The distinct sites, in fractional coordinates, are Pr at (0.000, 0.170, 0.250), Bi at (0.000, 0.404, 0.750), H at (0.133, 0.000, 0.000), H at (0.236, 0.316, 0.464), H at (0.238, 0.315, 0.038) and Rh at (0.248, 0.079, 0.750).

The raw total energy comes out at -0.339 Ry per atom.

No. 2
## AcPuSbPb (PBE)

Data for a relaxed structure of AcPuSbPb.

The structure belongs to space group F-43m (No. 216); the cell edges are 7.980, 7.980 and 7.980 Å and the angles 90.00°, 90.00° and 90.00°. The distinct sites, in fractional coordinates, are Ac at (0.000, 0.000, 0.000), Pu at (0.000, 0.000, 0.500), Sb at (0.250, 0.250, 0.750) and Pb at (0.250, 0.250, 0.250).

As for the uncorrected formation energy: -0.4070 eV per atom.

No. 3
## Ce4ZnTc (PBE)

Data for a relaxed structure of Ce4ZnTc.

The structure belongs to space group P4/mmm (No. 123); the cell edges are 3.562, 3.562 and 10.479 Å and the angles 90.00°, 90.00° and 90.00°. The distinct sites, in fractional coordinates, are Ce at (0.000, 0.000, 0.156), Ce at (0.500, 0.500, 0.327), Zn at (0.000, 0.000, 0.500) and Tc at (0.500, 0.500, 0.000).

The value obtained for the formation energy is -6.8 kJ per mole of atoms.